VASP calculation (GGA-PBE) on crystalline TlGe2Au at its relaxed geometry.

- Calculated volume: 23.43 Å³ per atom
- Calculated formation energy: 0.200 eV/atom

Structure (extended XYZ):
```
8
Lattice="4.315 0.000 0.000 0.000 4.315 0.000 2.157 2.157 10.068" Properties=species:S:1:pos:R:3 pbc="T T T"
Tl 0.000 0.000 0.000
Tl 4.315 2.157 5.034
Au 2.157 2.157 0.000
Au 2.157 4.315 5.034
Ge 2.897 1.079 2.517
Ge 1.417 3.236 2.517
Ge 3.236 3.574 7.551
Ge 5.393 5.055 7.551
```


VASP calculation (GGA-PBE) on crystalline YCd2Bi at its relaxed geometry.

- Calculated volume: 29.64 Å³ per atom
- Calculated formation energy: 0.198 eV/atom

Structure (extended XYZ):
```
4
Lattice="3.404 0.000 0.000 1.702 2.948 0.000 1.702 0.983 11.815" Properties=species:S:1:pos:R:3 pbc="T T T"
Y 0.000 0.000 0.000
Bi 3.404 1.965 5.908
Cd 1.702 0.983 8.697
Cd 5.106 2.948 3.118
```


VASP calculation (GGA-PBE) on crystalline PmThO at its relaxed geometry.

- Calculated volume: 25.48 Å³ per atom
- Energy relative to the elements, uncorrected: -1.745 eV per atom

Structure (extended XYZ):
```
12
Lattice="8.224 0.000 0.000 -4.112 6.798 0.000 0.000 0.000 5.469" Properties=species:S:1:pos:R:3 pbc="T T T"
O 4.112 2.222 1.368
O 4.112 4.575 4.103
O 0.000 4.575 4.101
O 0.000 2.222 1.367
Th 2.056 1.202 1.367
Th -2.056 5.595 4.102
Th 2.056 5.595 4.102
Th 6.168 1.202 1.367
Pm 4.112 4.587 1.367
Pm 4.112 2.210 4.102
Pm 0.000 2.210 4.102
Pm 0.000 4.587 1.367
```


VASP calculation (GGA-PBE) on crystalline NaCo3Cu at its relaxed geometry.

- Calculated volume: 16.16 Å³ per atom
- Calculated formation energy: 2.028 eV/atom

Structure (extended XYZ):
```
5
Lattice="4.323 0.000 0.000 0.000 4.323 0.000 0.000 0.000 4.323" Properties=species:S:1:pos:R:3 pbc="T T T"
Na 0.000 0.000 0.000
Co 0.000 2.161 0.000
Co 0.000 0.000 2.161
Co 2.161 0.000 0.000
Cu 2.161 2.161 2.161
```


VASP calculation (GGA-PBE) on crystalline GeBPb3 at its relaxed geometry.

- Calculated volume: 25.64 Å³ per atom
- Calculated formation energy: 0.715 eV/atom

Structure (extended XYZ):
```
5
Lattice="-0.218 -4.990 -0.695 3.810 0.292 -3.290 3.296 -0.667 3.757" Properties=species:S:1:pos:R:3 pbc="T T T"
Pb 1.905 0.146 -1.645
Pb 1.648 -0.334 1.879
Pb -0.109 -2.495 -0.347
Ge 3.444 -2.683 -0.114
B 0.000 0.000 0.000
```


VASP calculation (GGA-PBE) on crystalline NpTi2P4 at its relaxed geometry.

- Calculated volume: 17.46 Å³ per atom
- Calculated formation energy: -0.812 eV/atom

Structure (extended XYZ):
```
14
Lattice="-1.092 3.288 1.154 -3.117 -4.147 3.091 8.270 -0.123 8.177" Properties=species:S:1:pos:R:3 pbc="T T T"
Np 4.883 1.023 7.484
Np -0.822 -2.005 4.937
Ti 2.704 -0.731 4.642
Ti 4.608 -0.299 10.994
Ti -0.547 -0.682 1.427
Ti 1.357 -0.251 7.780
P -1.379 0.318 3.568
P 0.588 0.289 5.513
P 5.440 -1.300 8.853
P 3.473 -1.271 6.908
P 2.499 -0.606 9.871
P 1.562 -0.376 2.550
P -0.546 1.644 0.577
P 3.589 1.583 4.665
```